! SrIn2Sn (PBE, optimized geometry); values from VASP
&SYSTEM
  ibrav = 0, nat = 4, ntyp = 3
/
ATOMIC_SPECIES
Sr 87.62 Sr.upf
In 114.82 In.upf
Sn 118.71 Sn.upf
ATOMIC_POSITIONS crystal
Sr 0.000 0.000 0.000
In 0.000 0.500 0.500
In 0.500 0.000 0.500
Sn 0.500 0.500 0.000
CELL_PARAMETERS angstrom
4.807 0.000 0.000
0.000 4.807 0.000
0.000 0.000 4.959
! **Calculated volume**: 28.64 Å³/atom
! **ρ**: 6.32 g/cm³
! **DOS at the Fermi energy**: 2.17 states/eV per cell
! **Formation energy**: -1.403 eV/f.u.